6
Lattice="4.503 0.000 0.000 2.252 3.900 0.000 2.252 1.300 3.677" Properties=species:S:1:pos:R:3 comment="ScBe4Pt | the Alexandria database | GGA-PBEsol | optimized geometry" total_energy_ev_per_cell=-32.5 formation_energy_ev_per_atom=-0.481 pbc="T T T"
Pt 6.755 3.900 2.758
Be 4.503 3.897 1.380
Be 4.503 2.600 3.214
Be 3.380 1.951 1.380
Be 5.627 1.951 1.380
Sc 0.000 0.000 0.000